# BC2

A relaxed BC2 crystal (GGA-PBE, the Alexandria database).

Cell lengths 3.8188, 11.1194, 3.6151 Å; angles 90.00, 90.00, 90.00 degrees
Space group C222_1 (No. 20)
One atom of each set of equivalent atoms:
1 B 0.0000 0.0827 0.2500 [4 per cell]
2 B 0.0000 0.2491 0.7500 [4 per cell]
3 C 0.0000 0.4185 0.2500 [4 per cell]
4 C 0.2278 0.5000 0.5000 [4 per cell]
5 C 0.2362 0.3406 0.0035 [8 per cell]

Values from the calculation:
Total magnetic moment, μB/f.u.: 0.000
Uncorrected energy, eV per cell: -192.131
Formation energy, kJ per mole of atoms: 35.66